Entry 1:
# PBE-GGA ZnCd3P, relaxed
# **Energy above the most stable polymorph in this dataset**: 0 meV/atom
data_ZnCd3P
_chemical_formula_sum 'Zn1 Cd3 P1'
_symmetry_space_group_name_H-M 'P 1'
_symmetry_Int_Tables_number 1
_symmetry_space_group_name_Hall 'P 1'
_cell_length_a 5.1760
_cell_length_b 5.1760
_cell_length_c 5.1760
_cell_angle_alpha 90.00
_cell_angle_beta 90.00
_cell_angle_gamma 90.00
loop_
_atom_site_label
_atom_site_type_symbol
_atom_site_fract_x
_atom_site_fract_y
_atom_site_fract_z
Cd1 Cd 0.0000 0.5000 0.0000
Cd2 Cd 0.0000 0.0000 0.5000
Cd3 Cd 0.5000 0.0000 0.0000
P1 P 0.0000 0.0000 0.0000
Zn1 Zn 0.5000 0.5000 0.5000

=====

Entry 2:
# PBE-GGA Zn2CdP, relaxed
# **Energy above the most stable polymorph in this dataset**: 159 meV/atom
data_Zn2CdP
_chemical_formula_sum 'Zn2 Cd1 P1'
_symmetry_space_group_name_H-M 'P 1'
_symmetry_Int_Tables_number 1
_symmetry_space_group_name_Hall 'P 1'
_cell_length_a 5.4795
_cell_length_b 5.4795
_cell_length_c 5.3706
_cell_angle_alpha 66.66
_cell_angle_beta 66.66
_cell_angle_gamma 29.17
loop_
_atom_site_label
_atom_site_type_symbol
_atom_site_fract_x
_atom_site_fract_y
_atom_site_fract_z
Cd1 Cd 0.0000 0.0000 0.5000
Zn1 Zn 0.2301 0.2301 0.7594
Zn2 Zn 0.7699 0.7699 0.2406
P1 P 0.5000 0.5000 0.0000

=====

Entry 3:
# PBE-GGA ZnCdP, relaxed
# **Energy above the most stable polymorph in this dataset**: 219 meV/atom
data_ZnCdP
_chemical_formula_sum 'Zn1 Cd1 P1'
_symmetry_space_group_name_H-M 'P 1'
_symmetry_Int_Tables_number 1
_symmetry_space_group_name_Hall 'P 1'
_cell_length_a 6.3477
_cell_length_b 6.1732
_cell_length_c 3.1284
_cell_angle_alpha 78.65
_cell_angle_beta 72.46
_cell_angle_gamma 28.89
loop_
_atom_site_label
_atom_site_type_symbol
_atom_site_fract_x
_atom_site_fract_y
_atom_site_fract_z
P1 P 0.3133 0.3133 0.6867
Cd1 Cd 0.0000 0.0000 0.0000
Zn1 Zn 0.6866 0.6866 0.3134

=====

Entry 4:
Entry from the Alexandria database: an optimized crystal structure of Zr2Cd2P (PBE-GGA).

The structure in CIF format:
```
data_Zr2Cd2P
_chemical_formula_sum 'Zr4 Cd4 P2'
_symmetry_space_group_name_H-M 'P 1'
_symmetry_Int_Tables_number 1
_symmetry_space_group_name_Hall 'P 1'
_cell_length_a 6.7970
_cell_length_b 6.7970
_cell_length_c 4.8891
_cell_angle_alpha 90.00
_cell_angle_beta 90.00
_cell_angle_gamma 90.00
loop_
_atom_site_label
_atom_site_type_symbol
_atom_site_fract_x
_atom_site_fract_y
_atom_site_fract_z
Zr1 Zr 0.1631 0.3369 0.0000
Zr2 Zr 0.3369 0.8369 0.0000
Zr3 Zr 0.6631 0.1631 0.0000
Zr4 Zr 0.8369 0.6631 0.0000
Cd1 Cd 0.3511 0.1489 0.5000
Cd2 Cd 0.6489 0.8511 0.5000
Cd3 Cd 0.1489 0.6489 0.5000
Cd4 Cd 0.8511 0.3511 0.5000
P1 P 0.0000 0.0000 0.0000
P2 P 0.5000 0.5000 0.0000
```

=====

Entry 5:
Entry from the Alexandria database: an optimized crystal structure of ZrCd2P (PBE-GGA).

The structure in CIF format:
```
data_ZrCd2P
_chemical_formula_sum 'Zr1 Cd2 P1'
_symmetry_space_group_name_H-M 'P 1'
_symmetry_Int_Tables_number 1
_symmetry_space_group_name_Hall 'P 1'
_cell_length_a 3.0268
_cell_length_b 3.0268
_cell_length_c 9.0149
_cell_angle_alpha 90.00
_cell_angle_beta 90.00
_cell_angle_gamma 89.86
loop_
_atom_site_label
_atom_site_type_symbol
_atom_site_fract_x
_atom_site_fract_y
_atom_site_fract_z
P1 P 0.5000 0.5000 0.5000
Cd1 Cd 0.0000 0.0000 0.2598
Cd2 Cd 0.0000 0.0000 0.7402
Zr1 Zr 0.5000 0.5000 0.0000
```

=====

Entry 6:
Entry from the Alexandria database: an optimized crystal structure of ZrCd2P (PBE-GGA).

The structure in CIF format:
```
data_ZrCd2P
_chemical_formula_sum 'Zr1 Cd2 P1'
_symmetry_space_group_name_H-M 'P 1'
_symmetry_Int_Tables_number 1
_symmetry_space_group_name_Hall 'P 1'
_cell_length_a 6.8235
_cell_length_b 6.8235
_cell_length_c 3.6272
_cell_angle_alpha 90.00
_cell_angle_beta 90.00
_cell_angle_gamma 150.27
loop_
_atom_site_label
_atom_site_type_symbol
_atom_site_fract_x
_atom_site_fract_y
_atom_site_fract_z
Cd1 Cd 0.4465 0.5535 0.5000
Cd2 Cd 0.0675 0.9325 0.0000
Zr1 Zr 0.7242 0.2758 0.5000
P1 P 0.2778 0.7222 0.0000
```

=====

Entry 7:
Entry from the Alexandria database: an optimized crystal structure of ZrCd2P (PBE-GGA).

The structure in CIF format:
```
data_ZrCd2P
_chemical_formula_sum 'Zr1 Cd2 P1'
_symmetry_space_group_name_H-M 'P 1'
_symmetry_Int_Tables_number 1
_symmetry_space_group_name_Hall 'P 1'
_cell_length_a 5.2103
_cell_length_b 3.0108
_cell_length_c 5.2923
_cell_angle_alpha 75.87
_cell_angle_beta 90.00
_cell_angle_gamma 90.00
loop_
_atom_site_label
_atom_site_type_symbol
_atom_site_fract_x
_atom_site_fract_y
_atom_site_fract_z
Cd1 Cd 0.0000 0.6308 0.2376
Cd2 Cd 0.0000 0.3692 0.7624
Zr1 Zr 0.5000 0.0000 0.5000
P1 P 0.5000 0.5000 0.0000
```

=====

Entry 8:
Entry from the Alexandria database: an optimized crystal structure of ZrCd2P (PBE-GGA).

The structure in CIF format:
```
data_ZrCd2P
_chemical_formula_sum 'Zr1 Cd2 P1'
_symmetry_space_group_name_H-M 'P 1'
_symmetry_Int_Tables_number 1
_symmetry_space_group_name_Hall 'P 1'
_cell_length_a 4.8986
_cell_length_b 4.8986
_cell_length_c 5.6084
_cell_angle_alpha 67.41
_cell_angle_beta 67.41
_cell_angle_gamma 43.78
loop_
_atom_site_label
_atom_site_type_symbol
_atom_site_fract_x
_atom_site_fract_y
_atom_site_fract_z
Cd1 Cd 0.0125 0.0125 0.9909
Cd2 Cd 0.7905 0.7905 0.7692
P1 P 0.4980 0.4980 0.3623
Zr1 Zr 0.1991 0.1991 0.3776
```

=====

Entry 9:
Entry from the Alexandria database: an optimized crystal structure of Zr2CdP2 (PBE-GGA).

The structure in CIF format:
```
data_Zr2CdP2
_chemical_formula_sum 'Zr2 Cd1 P2'
_symmetry_space_group_name_H-M 'P 1'
_symmetry_Int_Tables_number 1
_symmetry_space_group_name_Hall 'P 1'
_cell_length_a 4.5307
_cell_length_b 4.5307
_cell_length_c 5.9278
_cell_angle_alpha 67.53
_cell_angle_beta 67.53
_cell_angle_gamma 90.00
loop_
_atom_site_label
_atom_site_type_symbol
_atom_site_fract_x
_atom_site_fract_y
_atom_site_fract_z
P1 P 0.3850 0.3850 0.2300
P2 P 0.6150 0.6150 0.7700
Zr1 Zr 0.2500 0.7500 0.5000
Zr2 Zr 0.7500 0.2500 0.5000
Cd1 Cd 0.0000 0.0000 0.0000
```

=====

Entry 10:
Entry from the Alexandria database: an optimized crystal structure of ZrCd2P (PBE-GGA).

The structure in CIF format:
```
data_ZrCd2P
_chemical_formula_sum 'Zr1 Cd2 P1'
_symmetry_space_group_name_H-M 'P 1'
_symmetry_Int_Tables_number 1
_symmetry_space_group_name_Hall 'P 1'
_cell_length_a 3.9153
_cell_length_b 3.9153
_cell_length_c 5.1852
_cell_angle_alpha 90.00
_cell_angle_beta 90.00
_cell_angle_gamma 90.00
loop_
_atom_site_label
_atom_site_type_symbol
_atom_site_fract_x
_atom_site_fract_y
_atom_site_fract_z
Zr1 Zr 0.0000 0.0000 0.5000
Cd1 Cd 0.0000 0.5000 0.0000
Cd2 Cd 0.5000 0.0000 0.0000
P1 P 0.5000 0.5000 0.5000
```

=====

Entry 11:
Entry from the Alexandria database: an optimized crystal structure of ZrCd2P (PBE-GGA).

The structure in CIF format:
```
data_ZrCd2P
_chemical_formula_sum 'Zr1 Cd2 P1'
_symmetry_space_group_name_H-M 'P 1'
_symmetry_Int_Tables_number 1
_symmetry_space_group_name_Hall 'P 1'
_cell_length_a 5.6304
_cell_length_b 5.6304
_cell_length_c 3.0586
_cell_angle_alpha 90.00
_cell_angle_beta 90.00
_cell_angle_gamma 121.93
loop_
_atom_site_label
_atom_site_type_symbol
_atom_site_fract_x
_atom_site_fract_y
_atom_site_fract_z
P1 P 0.0000 0.0000 0.5000
Zr1 Zr 0.5000 0.5000 0.5000
Cd1 Cd 0.0000 0.5000 0.0000
Cd2 Cd 0.5000 0.0000 0.0000
```

=====

Entry 12:
# PBE-GGA ZrCdP3, relaxed
# **Energy above the most stable polymorph in this dataset**: 624 meV/atom
data_ZrCdP3
_chemical_formula_sum 'Zr1 Cd1 P3'
_symmetry_space_group_name_H-M 'P 1'
_symmetry_Int_Tables_number 1
_symmetry_space_group_name_Hall 'P 1'
_cell_length_a 4.8221
_cell_length_b 4.8221
_cell_length_c 4.8221
_cell_angle_alpha 90.00
_cell_angle_beta 90.00
_cell_angle_gamma 90.00
loop_
_atom_site_label
_atom_site_type_symbol
_atom_site_fract_x
_atom_site_fract_y
_atom_site_fract_z
P1 P 0.5000 0.0000 0.0000
P2 P 0.0000 0.5000 0.0000
P3 P 0.0000 0.0000 0.5000
Cd1 Cd 0.0000 0.0000 0.0000
Zr1 Zr 0.5000 0.5000 0.5000

=====

Entry 13:
Entry from the Alexandria database: an optimized crystal structure of ZrCd2P (PBE-GGA).

The structure in CIF format:
```
data_ZrCd2P
_chemical_formula_sum 'Zr1 Cd2 P1'
_symmetry_space_group_name_H-M 'P 1'
_symmetry_Int_Tables_number 1
_symmetry_space_group_name_Hall 'P 1'
_cell_length_a 3.9038
_cell_length_b 3.9038
_cell_length_c 5.4384
_cell_angle_alpha 90.00
_cell_angle_beta 90.00
_cell_angle_gamma 90.00
loop_
_atom_site_label
_atom_site_type_symbol
_atom_site_fract_x
_atom_site_fract_y
_atom_site_fract_z
Cd1 Cd 0.0000 0.0000 0.7531
Cd2 Cd 0.0000 0.0000 0.2469
Zr1 Zr 0.5000 0.5000 0.5000
P1 P 0.5000 0.5000 0.0000
```

=====

Entry 14:
Entry from the Alexandria database: an optimized crystal structure of Zr2CdP2 (PBE-GGA).

The structure in CIF format:
```
data_Zr2CdP2
_chemical_formula_sum 'Zr4 Cd2 P4'
_symmetry_space_group_name_H-M 'P 1'
_symmetry_Int_Tables_number 1
_symmetry_space_group_name_Hall 'P 1'
_cell_length_a 7.3232
_cell_length_b 7.3232
_cell_length_c 3.4272
_cell_angle_alpha 90.00
_cell_angle_beta 90.00
_cell_angle_gamma 90.00
loop_
_atom_site_label
_atom_site_type_symbol
_atom_site_fract_x
_atom_site_fract_y
_atom_site_fract_z
Cd1 Cd 0.0000 0.0000 0.0000
Cd2 Cd 0.5000 0.5000 0.0000
P1 P 0.6432 0.1432 0.0000
P2 P 0.3568 0.8568 0.0000
P3 P 0.1432 0.3568 0.0000
P4 P 0.8568 0.6432 0.0000
Zr1 Zr 0.8530 0.3530 0.5000
Zr2 Zr 0.3530 0.1470 0.5000
Zr3 Zr 0.1470 0.6470 0.5000
Zr4 Zr 0.6470 0.8530 0.5000
```

=====

| no. | E (eV per formula unit) | theoretical density (kg/m3) |
| --- | --- | --- |
| 1 | -7.52 | 5192 |
| 2 | -7.98 | 6351 |
| 3 | -6.70 | 6205 |
| 4 | -26.28 | 6444 |
| 5 | -15.11 | 6977 |
| 6 | -17.28 | 6881 |
| 7 | -16.02 | 7157 |
| 8 | -16.87 | 6798 |
| 9 | -32.15 | 5787 |
| 10 | -16.72 | 7249 |
| 11 | -15.97 | 7002 |
| 12 | -20.77 | 4392 |
| 13 | -15.82 | 6953 |
| 14 | -32.85 | 6447 |